Li2DyHoAu4 after structural relaxation, computed with PBE. Values from VASP.

Quantum ESPRESSO input file:
```
&SYSTEM
  ibrav = 0, nat = 8, ntyp = 4
/
ATOMIC_SPECIES
Li 6.94 Li.upf
Dy 162.50 Dy.upf
Ho 164.93 Ho.upf
Au 196.97 Au.upf
ATOMIC_POSITIONS angstrom
Li -3.760 8.813 -3.753
Li -1.253 2.940 -1.250
Dy 0.000 0.000 0.000
Ho -2.506 5.876 -2.502
Au -1.661 8.579 -1.606
Au -4.566 6.234 -4.607
Au -0.447 5.518 -0.396
Au -3.351 3.173 -3.397
CELL_PARAMETERS angstrom
-0.955 1.778 -4.465
-4.460 1.740 -1.042
0.403 8.235 0.504
```

- Formation energy: -0.718 eV/atom
- Total magnetization: 0.0 μB/cell

---

Li2TlTe after structural relaxation, computed with PBE. Values from VASP.

Quantum ESPRESSO input file:
```
&SYSTEM
  ibrav = 0, nat = 4, ntyp = 3
/
ATOMIC_SPECIES
Li 6.94 Li.upf
Te 127.60 Te.upf
Tl 204.38 Tl.upf
ATOMIC_POSITIONS angstrom
Li -4.362 1.615 2.971
Li -1.136 -1.957 2.398
Te -2.069 0.766 1.409
Tl -3.358 -1.134 3.912
CELL_PARAMETERS angstrom
-1.614 -3.714 -0.351
1.897 -1.145 3.408
-4.483 1.660 3.053
```

- Formation energy from raw total energies: -0.405 eV/atom
- ΔE to the lowest computed polymorph: 148 meV per atom
- Total magnetization: 0.0 μB/cell

---

In2POs after structural relaxation, computed with PBE. Values from VASP.

Quantum ESPRESSO input file:
```
&SYSTEM
  ibrav = 0, nat = 4, ntyp = 3
/
ATOMIC_SPECIES
In 114.82 In.upf
Os 190.23 Os.upf
P 30.97 P.upf
ATOMIC_POSITIONS angstrom
In 0.000 0.000 0.000
In -1.206 -2.406 1.156
Os -3.085 -2.380 -1.091
P -2.871 0.017 0.580
CELL_PARAMETERS angstrom
-4.750 0.043 -1.667
-1.419 -4.803 -0.515
2.093 2.370 3.918
```

- Formation energy: 0.650 eV/atom
- Total magnetization: 0.0 μB/cell

---

Mg2Ag3Au after structural relaxation, computed with PBE. Values from VASP.

Quantum ESPRESSO input file:
```
&SYSTEM
  ibrav = 0, nat = 12, ntyp = 3
/
ATOMIC_SPECIES
Mg 24.30 Mg.upf
Ag 107.87 Ag.upf
Au 196.97 Au.upf
ATOMIC_POSITIONS angstrom
Mg 0.304 3.463 1.525
Mg 1.525 4.840 3.808
Mg 4.605 2.076 7.558
Mg 3.385 0.699 5.275
Ag 4.182 3.717 4.930
Ag 1.737 0.960 0.404
Ag 0.728 1.821 4.153
Ag 3.172 4.579 8.679
Ag 2.937 2.359 2.667
Ag 1.973 3.180 6.416
Au 4.980 0.548 2.667
Au -0.070 4.991 6.416
CELL_PARAMETERS angstrom
5.499 0.105 0.792
-0.556 5.472 0.792
-0.033 -0.038 7.500
```

- Formation energy: -0.183 eV/atom
- ΔE to the lowest computed polymorph: 14 meV per atom
- Total magnetization: 0.0 μB/cell

---

Pm7Al2Au2 after structural relaxation, computed with PBE. Values from VASP.

Quantum ESPRESSO input file:
```
&SYSTEM
  ibrav = 0, nat = 11, ntyp = 3
/
ATOMIC_SPECIES
Pm 145.00 Pm.upf
Al 26.98 Al.upf
Au 196.97 Au.upf
ATOMIC_POSITIONS angstrom
Pm 0.658 -0.451 3.940
Pm 1.918 -6.019 0.782
Pm -0.796 -7.958 3.115
Pm -2.057 -2.390 6.274
Pm 0.000 0.000 0.000
Pm 1.179 -5.274 4.091
Pm -1.317 -3.135 2.964
Al -1.902 -5.513 5.103
Al 1.763 -2.896 1.952
Au -3.182 -3.420 0.559
Au -2.246 -0.457 4.108
CELL_PARAMETERS angstrom
-3.830 -5.471 -1.898
5.290 -4.532 2.388
-1.598 1.594 6.566
```

- Formation energy: -0.220 eV/atom
- Total magnetization: 0.0 μB/cell

---

ZnSiPb2 after structural relaxation, computed with PBE. Values from VASP.

Quantum ESPRESSO input file:
```
&SYSTEM
  ibrav = 0, nat = 4, ntyp = 3
/
ATOMIC_SPECIES
Pb 207.20 Pb.upf
Si 28.09 Si.upf
Zn 65.41 Zn.upf
ATOMIC_POSITIONS angstrom
Pb 0.000 6.229 4.895
Pb 2.060 1.880 1.712
Si 0.000 4.050 2.585
Zn 2.060 4.067 4.045
CELL_PARAMETERS angstrom
4.119 0.000 0.000
0.000 4.409 -0.071
0.000 2.082 5.366
```

- Formation energy from raw total energies: 0.226 eV/atom
- ΔE to the lowest computed polymorph: 0 meV per atom
- Total magnetization: 0.0 μB/cell

---

HfZnOs2W after structural relaxation, computed with PBE. Values from VASP.

Quantum ESPRESSO input file:
```
&SYSTEM
  ibrav = 0, nat = 5, ntyp = 4
/
ATOMIC_SPECIES
Hf 178.49 Hf.upf
Zn 65.41 Zn.upf
Os 190.23 Os.upf
W 183.84 W.upf
ATOMIC_POSITIONS angstrom
Hf -2.613 -2.339 -2.063
Zn -0.648 -2.158 0.620
Os 0.280 -0.723 -2.224
Os -2.246 0.542 -0.459
W 0.000 0.000 0.000
CELL_PARAMETERS angstrom
-4.491 1.085 -0.919
0.560 -1.446 -4.448
-1.296 -4.315 1.240
```

- Formation energy: 1.407 eV/atom
- Total magnetization: 0.0 μB/cell

---

TaNiW2 after structural relaxation, computed with PBE. Values from VASP.

Quantum ESPRESSO input file:
```
&SYSTEM
  ibrav = 0, nat = 4, ntyp = 3
/
ATOMIC_SPECIES
Ni 58.69 Ni.upf
Ta 180.95 Ta.upf
W 183.84 W.upf
ATOMIC_POSITIONS angstrom
Ni 13.868 2.061 1.208
Ta 20.931 3.111 1.823
W 27.629 4.107 2.406
W 6.751 1.003 0.588
CELL_PARAMETERS angstrom
9.497 0.004 0.002
9.088 2.759 0.002
9.088 1.351 2.406
```

- Formation energy: 0.298 eV/atom
- ΔE to the lowest computed polymorph: 313 meV per atom
- Total magnetization: 0.0 μB/cell